Entry 1:
VASP calculation (PBE) on an optimized crystal structure of Pr6HoHg2.

Lattice parameters (Å, degrees): 13.083 3.815 12.330 90.00 108.80 90.00
Space group C2/m (No. 12)
Inequivalent atoms, fractional coordinates:
Pr (0.024, 0.000, 0.335) x4
Pr (0.186, 0.500, 0.876) x4
Pr (0.191, 0.500, 0.592) x4
Ho (0.000, 0.000, 0.000) x2
Hg (0.136, 0.500, 0.189) x4

Formation enthalpy at 0 K (kJ per mole of atoms): -20.5
Magnetization (μB/f.u.): 0.0

=====

Entry 2:
VASP calculation (PBE) on an optimized crystal structure of MgTl3S.

Lattice parameters (Å, degrees): 5.476 5.476 5.476 90.00 90.00 90.00
Space group Pm-3m (No. 221)
Inequivalent atoms, fractional coordinates:
Mg (0.000, 0.000, 0.000) x1
Tl (0.000, 0.000, 0.500) x3
S (0.500, 0.500, 0.500) x1

Offset from the most stable computed form (eV per formula unit): 0.447
Magnetization (μB/f.u.): 0.0
Formation energy (no corrections) (eV per atom): 0.31

=====

Entry 3:
VASP calculation (PBE) on an optimized crystal structure of Ac3AlIn.

Lattice parameters (Å, degrees): 8.088 8.088 8.088 90.00 90.00 90.00
Space group Pm-3m (No. 221)
Inequivalent atoms, fractional coordinates:
Ac (0.000, 0.000, 0.000) x1
Ac (0.267, 0.267, 0.267) x8
Al (0.000, 0.500, 0.500) x3
In (0.000, 0.000, 0.500) x3

Offset from the most stable computed form (eV per formula unit): 0.174
Formation enthalpy at 0 K (kJ per mole of atoms): -17.7
Magnetization (μB/f.u.): 0.8

=====

Entry 4:
VASP calculation (PBE) on an optimized crystal structure of KFeSe2.

Lattice parameters (Å, degrees): 3.299 3.742 15.448 90.00 90.00 90.00
Space group Imm2 (No. 44)
Inequivalent atoms, fractional coordinates:
K (0.000, 0.000, 0.000) x2
Fe (0.000, 0.500, 0.252) x2
Se (0.000, 0.000, 0.635) x2
Se (0.000, 0.500, 0.823) x2

Magnetization (μB/f.u.): 3.6
Formation energy (no corrections) (eV per atom): -0.34

=====

Which of these has the highest magnetization?
KFeSe2